Here is a relaxed CaInHg crystal from the Alexandria database. Energies are from PBE-GGA.

Lattice parameters (Å, degrees): 7.0680 7.0680 7.0680 90.00 90.00 90.00
Closest atoms and distances in Å follow each position.
Space group F-43m (No. 216)
Asymmetric unit:
1 Ca 0.0000 0.0000 0.0000 (multiplicity 4)  4 Hg 3.06
2 In 0.0000 0.0000 0.5000 (multiplicity 4)  4 Hg 3.06
3 Hg 0.2500 0.2500 0.7500 (multiplicity 4)  4 In 3.06, 4 Ca 3.06

Results
Total magnetic moment = 0.000 μB per formula unit
Energy of formation from the pure elements = -8.436 kcal/mol of atoms